Entry 1:
First-principles (PBE-GGA) data for a relaxed Cu3Ag5 crystal, as listed in OQMD.

Computed properties:
* excess energy over the best structure of this formula in the dataset: 6.2 kJ/mol of atoms
* energy: -3.06 eV per atom
* SG: P2/m (10)
* crystal system: monoclinic

Unit cell a=4.8971 b=2.8462 c=9.2064 alpha=90.00 beta=100.62 gamma=90.00
With the nearest neighbours (Å) after each atom.
Atoms (fractional coordinates):
Cu 0.5000 0.0000 0.5000  10 Ag 2.83-2.88, 2 Cu 2.85
Cu 0.0000 0.0000 0.0000  6 Ag 2.72-2.75, 6 Cu 2.83-2.85
Cu 0.5000 0.5000 0.0000  6 Ag 2.70-2.75, 6 Cu 2.83-2.85
Ag 0.2510 0.5000 0.2445  5 Cu 2.75-2.83, 7 Ag 2.81-2.85
Ag 0.0000 0.5000 0.5000  4 Cu 2.83, 8 Ag 2.85-2.88
Ag 0.2557 0.0000 0.7616  4 Cu 2.70-2.88, 8 Ag 2.81-2.88
Ag 0.7490 0.5000 0.7555  5 Cu 2.75-2.83, 7 Ag 2.81-2.85
Ag 0.7443 0.0000 0.2384  4 Cu 2.70-2.88, 8 Ag 2.81-2.88

=====

Entry 2:
First-principles (PBE-GGA) data for a relaxed CuAg crystal, as listed in OQMD.

Computed properties:
* energy: -3.18 eV per atom
* SG: Pmm2 (25)
* crystal system: orthorhombic

Unit cell a=2.8293 b=3.6179 c=14.6083 alpha=90.00 beta=90.00 gamma=90.00
With the nearest neighbours (Å) after each atom.
Atoms (fractional coordinates):
Cu 0.5000 0.5000 0.6089  8 Ag 2.71-2.72, 4 Cu 2.83-2.90
Cu 0.5000 0.5000 0.9777  5 Cu 2.48-2.61, 4 Ag 2.72
Cu 0.5000 0.5000 0.4110  8 Ag 2.71-2.72, 3 Cu 2.83-2.89
Cu 0.0000 0.0000 0.8929  10 Cu 2.61-2.83, 2 Ag 2.70
Cu 0.5000 0.5000 0.8077  5 Cu 2.48-2.61, 4 Ag 2.72
Ag 0.0000 0.0000 0.5097  8 Cu 2.71-2.72, 4 Ag 2.83-2.90
Ag 0.5000 0.5000 0.1947  10 Ag 2.83-2.86, 1 Cu 3.16
Ag 0.0000 0.0000 0.0777  5 Cu 2.70-2.72, 6 Ag 2.83-2.86
Ag 0.0000 0.0000 0.3116  4 Cu 2.72, 7 Ag 2.83-2.89
Ag 0.0000 0.0000 0.7080  9 Cu 2.70-2.72, 3 Ag 2.83-2.90

=====

Entry 3:
First-principles (PBE-GGA) data for a relaxed Cu7Ag2 crystal, as listed in OQMD.

Computed properties:
* excess energy over the best structure of this formula in the dataset: 2.1 kJ/mol of atoms
* energy: -3.45 eV per atom
* SG: Immm (71)
* crystal system: orthorhombic

Unit cell a=12.4584 b=12.4584 c=12.4584 alpha=167.60 beta=163.39 gamma=20.78
With the nearest neighbours (Å) after each atom.
Atoms (fractional coordinates):
Cu 0.4484 0.4484 0.0000  11 Cu 2.53-2.69, 1 Ag 2.74
Cu 0.8977 0.8977 0.0000  7 Cu 2.51-2.69, 4 Ag 2.70
Cu 0.5516 0.5516 0.0000  11 Cu 2.53-2.69, 1 Ag 2.74
Cu 0.0000 0.0000 0.0000  12 Cu 2.51-2.69
Cu 0.1023 0.1023 0.0000  7 Cu 2.51-2.69, 4 Ag 2.70
Cu 0.2252 0.2252 0.0000  6 Cu 2.56-2.69, 5 Ag 2.71-2.73
Cu 0.7748 0.7748 0.0000  6 Cu 2.56-2.69, 5 Ag 2.71-2.73
Ag 0.3365 0.3365 0.0000  2 Ag 2.69, 10 Cu 2.70-2.74
Ag 0.6635 0.6635 0.0000  2 Ag 2.69, 10 Cu 2.70-2.74

=====

Entry 4:
First-principles (PBE-GGA) data for a relaxed Cu3Ag2 crystal, as listed in OQMD.

Computed properties:
* excess energy over the best structure of this formula in the dataset: 2.8 kJ/mol of atoms
* energy: -3.29 eV per atom
* SG: C2/m (12)
* crystal system: monoclinic

Unit cell a=9.0103 b=9.0103 c=5.7341 alpha=99.18 beta=99.18 gamma=18.11
With the nearest neighbours (Å) after each atom.
Atoms (fractional coordinates):
Cu 0.2033 0.2033 0.3752  7 Cu 2.46-2.62, 2 Ag 2.65
Cu 0.7967 0.7967 0.6248  7 Cu 2.46-2.62, 2 Ag 2.65
Cu 0.6123 0.6123 0.5633  4 Cu 2.52-2.59, 5 Ag 2.78-2.80
Cu 0.3877 0.3877 0.4367  4 Cu 2.52-2.59, 5 Ag 2.78-2.80
Cu 0.2124 0.2124 0.8351  7 Cu 2.51-2.62, 2 Ag 2.69
Cu 0.7876 0.7876 0.1649  7 Cu 2.51-2.62, 2 Ag 2.69
Ag 0.3851 0.3851 0.9506  6 Cu 2.65-2.95, 6 Ag 2.84-2.88
Ag 0.9980 0.9980 0.7397  8 Ag 2.76-2.97, 4 Cu 2.79-2.80
Ag 0.6149 0.6149 0.0494  6 Cu 2.65-2.95, 6 Ag 2.84-2.88
Ag 0.0020 0.0020 0.2603  8 Ag 2.76-2.97, 4 Cu 2.79-2.80

=====

Q: What is the energy in the second record?
A: -3.18 eV per atom

=====

Q: energy of number 4 (Cu3Ag2)?
A: -3.29 eV per atom